This record from Alexandria describes MnRhC2F after structural relaxation. The functional is PBE+U.

Output
Total energy = -30.3 eV/cell
Total magnetization = 4.7 μB per formula unit
Fermi-level density of states = 0.57 states/eV/atom
Space-group type = P4/mmm

a = 3.876 Å, b = 4.623 Å, c = 3.876 Å
α = 90.00°, β = 90.00°, γ = 90.00°
Fractional positions:
F  0.000  0.500  0.000
Rh  0.000  0.000  0.000
C  0.500  0.000  0.000
C  0.000  0.000  0.500
Mn  0.500  0.500  0.500